Record 1
The following is a PBE calculation of TlSe2 after structural relaxation, from Alexandria via LeMat-Bulk.

Values from the calculation:
As for the offset from the most stable computed form: 162 meV/atom. The value obtained for the energy relative to the elements, uncorrected is -4 kJ/mol of formula units. As for the space-group type: Cmcm, No. 63.

```
6
Lattice="5.417 -4.580 0.000 5.417 4.580 0.000 0.000 0.000 4.606" Properties=species:S:1:pos:R:3 pbc="T T T"
Tl 5.417 3.183 3.455
Tl 5.417 -3.183 1.152
Se 3.136 2.025 1.152
Se 7.697 2.025 1.152
Se 3.136 -2.025 3.455
Se 7.697 -2.025 3.455
```

***

Record 2
The following is a PBE calculation of TlSe3 after structural relaxation, from Alexandria via LeMat-Bulk.

Values from the calculation:
The value obtained for the energy relative to the elements, uncorrected is 123 kJ/mol of formula units. As for the space-group type: Pmmm, No. 47.

```
4
Lattice="3.256 0.000 0.000 0.000 5.300 0.000 0.000 0.000 6.066" Properties=species:S:1:pos:R:3 pbc="T T T"
Tl 0.000 0.000 0.000
Se 0.000 0.000 3.033
Se 1.628 2.650 1.876
Se 1.628 2.650 4.191
```

***

Record 3
The following is a PBE calculation of Tm5Tl2Se2 after structural relaxation, from Alexandria via LeMat-Bulk.

Values from the calculation:
The value obtained for the energy relative to the elements, uncorrected is -658 kJ/mol of formula units. As for the space-group type: Cmce, No. 64.

```
18
Lattice="7.346 -3.968 0.000 7.346 3.968 0.000 0.000 0.000 7.896" Properties=species:S:1:pos:R:3 pbc="T T T"
Tm 0.000 0.000 0.000
Tm 5.461 2.656 5.245
Tm 5.461 1.312 1.297
Tm 9.231 2.656 5.245
Tm 9.231 1.312 1.297
Tm 7.346 0.000 3.948
Tm 5.461 -1.312 6.599
Tm 5.461 -2.656 2.651
Tm 9.231 -1.312 6.599
Tm 9.231 -2.656 2.651
Tl 3.062 0.000 0.000
Tl 4.284 0.000 3.948
Tl 10.409 0.000 3.948
Tl 11.630 0.000 0.000
Se 7.346 2.852 2.802
Se 7.346 1.116 6.750
Se 7.346 -1.116 1.146
Se 7.346 -2.852 5.094
```

***

Record 4
The following is a PBE calculation of Tm6TlSe5 after structural relaxation, from Alexandria via LeMat-Bulk.

Values from the calculation:
The value obtained for the energy relative to the elements, uncorrected is -1659 kJ/mol of formula units. As for the space-group type: C2/m, No. 12.

```
12
Lattice="3.544 -6.111 0.000 3.544 6.111 0.000 -2.326 0.000 6.677" Properties=species:S:1:pos:R:3 pbc="T T T"
Tm 0.015 2.066 4.991
Tm 1.159 0.000 1.679
Tm 0.015 -2.066 4.991
Tm 4.747 2.066 1.686
Tm 3.603 0.000 4.999
Tm 4.747 -2.066 1.686
Tl 3.544 0.000 0.000
Se -1.163 0.000 3.339
Se 3.544 4.072 0.000
Se 2.381 2.030 3.339
Se 2.381 -2.030 3.339
Se 3.544 -4.072 0.000
```

***

no.,total moment (μB/f.u.),volume (Å³ per atom),E (eV per cell)
1,0.000,38.09,-18.8
2,0.000,26.17,-11.5
3,0.000,25.57,-81.8
4,0.000,24.10,-63.8